Entry 1:
VASP calculation (PBE) on a geometry-optimized PrSm3Pb3 structure.

Computed properties:
Space group: P6_3/m
Raw total energy: -4.682 eV/atom
Energy relative to the elements: -0.387 eV/atom
V: 438.7 Å³ per cell

abc: 9.524 9.524 5.586
angles: 90.00 90.00 120.00
Sites, in units of the cell vectors:
1 Pr 0.333 0.667 0.250
2 Pr 0.667 0.333 0.750
3 Sm 0.004 0.764 0.250
4 Sm 0.236 0.240 0.250
5 Sm 0.240 0.004 0.750
6 Sm 0.760 0.996 0.250
7 Sm 0.764 0.760 0.750
8 Sm 0.996 0.236 0.750
9 Pb 0.077 0.625 0.750
10 Pb 0.375 0.452 0.750
11 Pb 0.452 0.077 0.250
12 Pb 0.548 0.923 0.750
13 Pb 0.625 0.548 0.250
14 Pb 0.923 0.375 0.250


Entry 2:
VASP calculation (PBE) on a geometry-optimized Pr2SmPb3 structure.

Computed properties:
Space group: Cmmm
Raw total energy: -4.752 eV/atom
Energy relative to the elements: -0.518 eV/atom
V: 363.3 Å³ per cell
Energy above the lowest structure with this stoichiometry: 0.0 kJ per mole of atoms

abc: 8.147 8.147 9.251
angles: 90.00 90.00 143.73
Sites, in units of the cell vectors:
1 Pr 0.000 0.000 0.000
2 Pr 0.000 0.000 0.500
3 Pr 0.333 0.667 0.000
4 Pr 0.667 0.333 0.000
5 Sm 0.333 0.667 0.500
6 Sm 0.667 0.333 0.500
7 Pb 0.168 0.832 0.253
8 Pb 0.168 0.832 0.747
9 Pb 0.500 0.500 0.253
10 Pb 0.500 0.500 0.747
11 Pb 0.832 0.168 0.253
12 Pb 0.832 0.168 0.747


Please write out number 1 again, unchanged.
VASP calculation (PBE) on a geometry-optimized PrSm3Pb3 structure.

Computed properties:
Space group: P6_3/m
Raw total energy: -4.682 eV/atom
Energy relative to the elements: -0.387 eV/atom
V: 438.7 Å³ per cell

abc: 9.524 9.524 5.586
angles: 90.00 90.00 120.00
Sites, in units of the cell vectors:
1 Pr 0.333 0.667 0.250
2 Pr 0.667 0.333 0.750
3 Sm 0.004 0.764 0.250
4 Sm 0.236 0.240 0.250
5 Sm 0.240 0.004 0.750
6 Sm 0.760 0.996 0.250
7 Sm 0.764 0.760 0.750
8 Sm 0.996 0.236 0.750
9 Pb 0.077 0.625 0.750
10 Pb 0.375 0.452 0.750
11 Pb 0.452 0.077 0.250
12 Pb 0.548 0.923 0.750
13 Pb 0.625 0.548 0.250
14 Pb 0.923 0.375 0.250


Please write out number 2 again, unchanged.
VASP calculation (PBE) on a geometry-optimized Pr2SmPb3 structure.

Computed properties:
Space group: Cmmm
Raw total energy: -4.752 eV/atom
Energy relative to the elements: -0.518 eV/atom
V: 363.3 Å³ per cell
Energy above the lowest structure with this stoichiometry: 0.0 kJ per mole of atoms

abc: 8.147 8.147 9.251
angles: 90.00 90.00 143.73
Sites, in units of the cell vectors:
1 Pr 0.000 0.000 0.000
2 Pr 0.000 0.000 0.500
3 Pr 0.333 0.667 0.000
4 Pr 0.667 0.333 0.000
5 Sm 0.333 0.667 0.500
6 Sm 0.667 0.333 0.500
7 Pb 0.168 0.832 0.253
8 Pb 0.168 0.832 0.747
9 Pb 0.500 0.500 0.253
10 Pb 0.500 0.500 0.747
11 Pb 0.832 0.168 0.253
12 Pb 0.832 0.168 0.747